[1]
The following is a DFT calculation (GGA-PBEsol) of a relaxed LiZrBe crystal.

a b c (Å): 2.697 4.174 8.119
angles (deg): 90.00 90.00 90.00
Atoms (fractional coordinates):
Li (0.000, 0.000, 0.000)
Li (0.500, 0.500, 0.500)
Zr (0.000, 0.000, 0.679)
Zr (0.500, 0.500, 0.179)
Be (0.000, 0.000, 0.332)
Be (0.500, 0.500, 0.832)

Results
total energy: -4.703 eV/atom
theoretical density: 3.90 g/cm³
SG: Imm2
volume: 15.2 Å³ per atom
energy relative to the elements: 0.316 eV per atom
size of the total moment: 0.0 μB/cell

---

[2]
The following is a DFT calculation (GGA-PBEsol) of a relaxed NaScBr3 crystal.

a b c (Å): 5.181 5.181 5.181
angles (deg): 90.00 90.00 90.00
Atoms (fractional coordinates):
Na (0.000, 0.000, 0.000)
Sc (0.500, 0.500, 0.500)
Br (0.000, 0.000, 0.500)
Br (0.000, 0.500, 0.000)
Br (0.500, 0.000, 0.000)

Results
total energy: -3.401 eV/atom
theoretical density: 3.67 g/cm³
SG: Pm-3m
volume: 27.8 Å³ per atom
E_form (uncorrected): -0.678 eV/atom
size of the total moment: 1.0 μB/cell

---

The highest theoretical density belongs to which entry?
LiZrBe